Version a
{
  "formula": "BeOs3Rh",
  "functional": "PBE-GGA",
  "state": "relaxed",
  "crystal_system": "cubic",
  "m_tot_mub_per_fu": 0.00,
  "lattice": [[-1.728, 3.261, -2.828], [-4.255, -0.772, 1.709], [0.729, 3.223, 3.271]],
  "species": ["Os", "Rh", "Os", "Os", "Be"],
  "frac_coords": [[0.000, 0.000, 0.500], [0.000, 0.000, 0.000], [0.000, 0.500, 0.000], [0.500, 0.000, 0.000], [0.500, 0.500, 0.500]]
}

Version b
{
  "formula": "BeOs3Rh",
  "functional": "PBE-GGA",
  "state": "relaxed",
  "crystal_system": "cubic",
  "m_tot_mub_per_fu": 0.00,
  "lattice": [[-0.226, 2.260, -3.389], [-1.840, -3.085, -1.935], [-3.634, 1.421, 1.190]],
  "species": ["Os", "Be", "Os", "Rh", "Os"],
  "frac_coords": [[0.500, 0.000, 0.000], [0.000, 0.000, 0.000], [0.000, 0.500, 0.000], [0.500, 0.500, 0.500], [0.000, 0.000, 0.500]]
}

Relative energies in eV/atom: version a 2.039; version b 0.000

Version a
{
  "formula": "BeOsRh3",
  "functional": "PBE-GGA",
  "state": "relaxed",
  "crystal_system": "cubic",
  "m_tot_mub_per_fu": 0.00,
  "lattice": [[4.074, 0.000, 0.000], [0.000, 4.074, 0.000], [0.000, 0.000, 4.074]],
  "species": ["Rh", "Os", "Be", "Rh", "Rh"],
  "frac_coords": [[0.500, 0.000, 0.000], [0.500, 0.500, 0.500], [0.000, 0.000, 0.000], [0.000, 0.500, 0.000], [0.000, 0.000, 0.500]]
}

Version b
{
  "formula": "BeOsRh3",
  "functional": "PBE-GGA",
  "state": "relaxed",
  "crystal_system": "cubic",
  "m_tot_mub_per_fu": 0.00,
  "lattice": [[-4.531, -1.149, 0.334], [0.392, -0.191, 4.666], [-1.131, 4.539, 0.281]],
  "species": ["Rh", "Be", "Os", "Rh", "Rh"],
  "frac_coords": [[0.000, 0.500, 0.000], [0.500, 0.500, 0.500], [0.000, 0.000, 0.000], [0.000, 0.000, 0.500], [0.500, 0.000, 0.000]]
}

Relative energies in eV/atom: version a 0.000; version b 1.123

Version a
{
  "formula": "BeOs3Ru",
  "functional": "PBE-GGA",
  "state": "relaxed",
  "crystal_system": "cubic",
  "m_tot_mub_per_fu": 0.00,
  "lattice": [[4.072, 0.000, 0.000], [0.000, 4.072, 0.000], [0.000, 0.000, 4.072]],
  "species": ["Be", "Os", "Os", "Os", "Ru"],
  "frac_coords": [[0.000, 0.000, 0.000], [0.000, 0.500, 0.000], [0.500, 0.000, 0.000], [0.000, 0.000, 0.500], [0.500, 0.500, 0.500]]
}

Version b
{
  "formula": "BeOs3Ru",
  "functional": "PBE-GGA",
  "state": "relaxed",
  "crystal_system": "cubic",
  "m_tot_mub_per_fu": 0.00,
  "lattice": [[-2.457, 2.059, -3.349], [1.522, -3.143, -3.049], [-3.625, -2.716, 0.990]],
  "species": ["Os", "Os", "Ru", "Os", "Be"],
  "frac_coords": [[0.000, 0.500, 0.000], [0.000, 0.000, 0.500], [0.000, 0.000, 0.000], [0.500, 0.000, 0.000], [0.500, 0.500, 0.500]]
}

Relative energies in eV/atom: version a 0.000; version b 1.876

Version a
{
  "formula": "BeOsS3",
  "functional": "PBE-GGA",
  "state": "relaxed",
  "crystal_system": "cubic",
  "m_tot_mub_per_fu": 0.00,
  "lattice": [[4.141, 0.000, 0.000], [0.000, 4.141, 0.000], [0.000, 0.000, 4.141]],
  "species": ["Be", "Os", "S", "S", "S"],
  "frac_coords": [[0.000, 0.000, 0.000], [0.500, 0.500, 0.500], [0.000, 0.000, 0.500], [0.500, 0.000, 0.000], [0.000, 0.500, 0.000]]
}

Version b
{
  "formula": "BeOsS3",
  "functional": "PBE-GGA",
  "state": "relaxed",
  "crystal_system": "cubic",
  "m_tot_mub_per_fu": 0.00,
  "lattice": [[4.612, 0.000, 0.000], [0.000, 4.612, 0.000], [0.000, 0.000, 4.612]],
  "species": ["Be", "S", "Os", "S", "S"],
  "frac_coords": [[0.500, 0.500, 0.500], [0.000, 0.500, 0.000], [0.000, 0.000, 0.000], [0.000, 0.000, 0.500], [0.500, 0.000, 0.000]]
}

Relative energies in eV/atom: version a 0.000; version b 0.016

Version a
{
  "formula": "Be3OsS",
  "functional": "PBE-GGA",
  "state": "relaxed",
  "crystal_system": "cubic",
  "m_tot_mub_per_fu": 0.00,
  "lattice": [[4.228, 0.000, 0.000], [0.000, 4.228, 0.000], [0.000, 0.000, 4.228]],
  "species": ["Os", "Be", "Be", "S", "Be"],
  "frac_coords": [[0.000, 0.000, 0.000], [0.000, 0.500, 0.000], [0.500, 0.000, 0.000], [0.500, 0.500, 0.500], [0.000, 0.000, 0.500]]
}

Version b
{
  "formula": "Be3OsS",
  "functional": "PBE-GGA",
  "state": "relaxed",
  "crystal_system": "cubic",
  "m_tot_mub_per_fu": 0.00,
  "lattice": [[-1.378, 0.367, -3.675], [3.312, -1.611, -1.403], [-1.633, -3.578, 0.255]],
  "species": ["Be", "Be", "S", "Os", "Be"],
  "frac_coords": [[0.000, 0.000, 0.500], [0.000, 0.500, 0.000], [0.000, 0.000, 0.000], [0.500, 0.500, 0.500], [0.500, 0.000, 0.000]]
}

Relative energies in eV/atom: version a 0.141; version b 0.000

Version a
{
  "formula": "Be2SbOs2",
  "functional": "PBE-GGA",
  "state": "relaxed",
  "crystal_system": "tetragonal",
  "m_tot_mub_per_fu": 0.00,
  "lattice": [[-2.272, -3.379, -5.042], [5.367, -3.631, 0.015], [-1.345, -1.980, 1.933]],
  "species": ["Be", "Be", "Os", "Os", "Os", "Os", "Be", "Be", "Sb", "Sb"],
  "frac_coords": [[0.381, 0.881, 0.000], [0.881, 0.619, 0.000], [0.163, 0.663, 0.500], [0.663, 0.837, 0.500], [0.837, 0.337, 0.500], [0.337, 0.163, 0.500], [0.119, 0.381, 0.000], [0.619, 0.119, 0.000], [0.000, 0.000, 0.000], [0.500, 0.500, 0.000]]
}

Version b
{
  "formula": "Be2SbOs2",
  "functional": "PBE-GGA",
  "state": "relaxed",
  "crystal_system": "tetragonal",
  "m_tot_mub_per_fu": 0.00,
  "lattice": [[6.812, 0.000, 0.000], [0.000, 6.812, 0.000], [0.000, 0.000, 2.967]],
  "species": ["Os", "Os", "Sb", "Sb", "Be", "Be", "Be", "Os", "Os", "Be"],
  "frac_coords": [[0.641, 0.141, 0.000], [0.141, 0.359, 0.000], [0.500, 0.500, 0.000], [0.000, 0.000, 0.000], [0.643, 0.857, 0.500], [0.357, 0.143, 0.500], [0.143, 0.643, 0.500], [0.859, 0.641, 0.000], [0.359, 0.859, 0.000], [0.857, 0.357, 0.500]]
}

Relative energies in eV/atom: version a 0.000; version b 0.026

Version a
{
  "formula": "BeSb3Os",
  "functional": "PBE-GGA",
  "state": "relaxed",
  "crystal_system": "cubic",
  "m_tot_mub_per_fu": 0.00,
  "lattice": [[-1.939, -1.333, 4.587], [-1.191, -4.660, -1.858], [4.627, -1.758, 1.444]],
  "species": ["Sb", "Be", "Sb", "Os", "Sb"],
  "frac_coords": [[0.000, 0.000, 0.500], [0.500, 0.500, 0.500], [0.000, 0.500, 0.000], [0.000, 0.000, 0.000], [0.500, 0.000, 0.000]]
}

Version b
{
  "formula": "BeSb3Os",
  "functional": "PBE-GGA",
  "state": "relaxed",
  "crystal_system": "cubic",
  "m_tot_mub_per_fu": 0.00,
  "lattice": [[-0.571, -2.715, -3.826], [-3.680, -2.131, 2.062], [-2.910, 3.228, -1.857]],
  "species": ["Sb", "Sb", "Be", "Sb", "Os"],
  "frac_coords": [[0.000, 0.000, 0.500], [0.000, 0.500, 0.000], [0.000, 0.000, 0.000], [0.500, 0.000, 0.000], [0.500, 0.500, 0.500]]
}

Relative energies in eV/atom: version a 0.000; version b 0.083

Version a
{
  "formula": "BeSb2TeOs",
  "functional": "PBE-GGA",
  "state": "relaxed",
  "crystal_system": "tetragonal",
  "m_tot_mub_per_fu": 0.00,
  "lattice": [[-2.800, 0.878, 3.653], [0.475, -4.436, 1.430], [3.842, 1.263, 2.641]],
  "species": ["Sb", "Sb", "Os", "Te", "Be"],
  "frac_coords": [[0.500, 0.000, 0.000], [0.000, 0.500, 0.000], [0.500, 0.500, 0.500], [0.000, 0.000, 0.500], [0.000, 0.000, 0.000]]
}

Version b
{
  "formula": "BeSb2TeOs",
  "functional": "PBE-GGA",
  "state": "relaxed",
  "crystal_system": "tetragonal",
  "m_tot_mub_per_fu": 0.00,
  "lattice": [[-0.785, 1.108, -4.791], [-4.863, -0.894, 0.590], [-0.854, 5.591, 1.432]],
  "species": ["Os", "Be", "Sb", "Sb", "Te"],
  "frac_coords": [[0.000, 0.000, 0.000], [0.500, 0.500, 0.500], [0.000, 0.500, 0.000], [0.500, 0.000, 0.000], [0.000, 0.000, 0.500]]
}

Relative energies in eV/atom: version a 0.117; version b 0.000